ScAsRh2 | GGA-PBEsol | optimized geometry

Cell: 3.236 3.236 5.834 Å, 90.00 90.00 90.00°
Element x y z (fractional)
Rh1 0.000 0.000 0.260
Rh2 0.000 0.000 0.740
Sc1 0.500 0.500 0.000
As1 0.500 0.500 0.500

Calculated values
Space group: P4/mmm
Calculated formation energy: -659 meV/atom
Fermi-level density of states: 0.408 states/eV/atom
Magnetization: 0.0 μB/f.u.
Final energy: -7.66 eV per atom

---

Sc2AsRh | GGA-PBEsol | optimized geometry

Cell: 3.258 3.258 8.572 Å, 79.04 79.04 60.00°
Element x y z (fractional)
Sc1 0.760 0.760 0.721
As1 0.511 0.511 0.466
Rh1 0.237 0.237 0.288
Sc2 0.992 0.992 0.025

Calculated values
Space group: R3m
Calculated formation energy: -290 meV/atom
Fermi-level density of states: 1.091 states/eV/atom
Magnetization: 0.7 μB/f.u.
Final energy: -6.90 eV per atom

---

Which of these has the lowest Fermi-level density of states?
ScAsRh2

---

The lowest magnetization belongs to which entry?
ScAsRh2

---

Among the records above, which one has the highest final energy?
Sc2AsRh